(1)
Computed, not measured: a relaxed Ac8GePb2 crystal at the PBE level of DFT.

POSCAR file:
```
Ac8GePb2
1.0
10.6275 -2.7689 0.0000
10.6275 2.7689 0.0000
-1.6145 0.0000 7.3908
Ac Ge Pb
8 1 2
direct
0.0205 0.0205 0.2777
0.2130 0.2130 0.8300
0.3482 0.3482 0.5025
0.4103 0.4103 0.0411
0.5897 0.5897 0.9589
0.6518 0.6518 0.4975
0.7870 0.7870 0.1700
0.9795 0.9795 0.7223
0.5000 0.5000 0.5000
0.1845 0.1845 0.2653
0.8155 0.8155 0.7347
```

SG	No. 12
formation enthalpy at 0 K	-0.28	eV per atom

(2)
Computed, not measured: a relaxed Ac6GePb6 crystal at the PBE level of DFT.

POSCAR file:
```
Ac6GePb6
1.0
7.0213 0.0000 0.0000
-3.5106 6.0806 0.0000
0.0000 0.0000 11.4235
Ac Ge Pb
6 1 6
direct
0.0000 0.0000 0.2349
0.0000 0.0000 0.7651
0.3333 0.6667 0.0000
0.3333 0.6667 0.5000
0.6667 0.3333 0.0000
0.6667 0.3333 0.5000
0.0000 0.0000 0.5000
0.0000 0.5000 0.2466
0.0000 0.5000 0.7534
0.5000 0.0000 0.2466
0.5000 0.0000 0.7534
0.5000 0.5000 0.2466
0.5000 0.5000 0.7534
```

SG	No. 191
formation enthalpy at 0 K	-0.42	eV per atom

(3)
Computed, not measured: a relaxed Ac3Ge2Pb crystal at the PBE level of DFT.

POSCAR file:
```
Ac3Ge2Pb
1.0
4.2633 2.4614 6.8754
-4.2633 2.4614 6.8754
0.0000 -4.9229 6.8754
Ac Ge Pb
6 4 2
direct
0.0534 0.7500 0.4466
0.2500 0.5534 0.9466
0.4466 0.0534 0.7500
0.5534 0.9466 0.2500
0.7500 0.4466 0.0534
0.9466 0.2500 0.5534
0.1528 0.1528 0.1528
0.3472 0.3472 0.3472
0.6528 0.6528 0.6528
0.8472 0.8472 0.8472
0.0000 0.0000 0.0000
0.5000 0.5000 0.5000
```

E above lowest polymorph	0	meV/atom
SG	No. 167
formation enthalpy at 0 K	-0.58	eV per atom

(4)
Computed, not measured: a relaxed Ac2GePb2 crystal at the PBE level of DFT.

POSCAR file:
```
Ac2GePb2
1.0
-2.1447 2.1447 9.4132
2.1447 -2.1447 9.4132
2.1447 2.1447 -9.4132
Ac Ge Pb
2 1 2
direct
0.0923 0.0923 0.0000
0.9077 0.9077 0.0000
0.5000 0.5000 0.0000
0.2500 0.7500 0.5000
0.7500 0.2500 0.5000
```

SG	No. 139
formation enthalpy at 0 K	-0.27	eV per atom

(5)
Computed, not measured: a relaxed Ac7Ge2Pb2 crystal at the PBE level of DFT.

POSCAR file:
```
Ac7Ge2Pb2
1.0
4.6722 -6.0654 0.0000
4.6722 6.0654 0.0000
0.0000 0.0000 7.6268
Ac Ge Pb
7 2 2
direct
0.0000 0.0000 0.0000
0.0000 0.5000 0.2696
0.0000 0.5000 0.7304
0.5000 0.0000 0.2696
0.5000 0.0000 0.7304
0.5000 0.5000 0.2414
0.5000 0.5000 0.7586
0.2698 0.7302 0.0000
0.7302 0.2698 0.0000
0.1785 0.1785 0.5000
0.8215 0.8215 0.5000
```

SG	No. 65
formation enthalpy at 0 K	-0.31	eV per atom

(6)
Computed, not measured: a relaxed Ac3Ge2Pb2 crystal at the PBE level of DFT.

POSCAR file:
```
Ac3Ge2Pb2
1.0
6.1535 -2.3797 0.0000
6.1535 2.3797 0.0000
-3.6672 0.0000 7.8170
Ac Ge Pb
3 2 2
direct
0.0000 0.0000 0.0000
0.1803 0.1803 0.6527
0.8197 0.8197 0.3473
0.2944 0.2944 0.0721
0.7056 0.7056 0.9279
0.4593 0.4593 0.6693
0.5407 0.5407 0.3307
```

SG	No. 12
formation enthalpy at 0 K	-0.57	eV per atom

(7)
Computed, not measured: a relaxed AcGePb2 crystal at the PBE level of DFT.

POSCAR file:
```
AcGePb2
1.0
4.8036 0.0000 0.0000
0.0000 4.8036 0.0000
0.0000 0.0000 5.1613
Ac Ge Pb
1 1 2
direct
0.0000 0.0000 0.0000
0.5000 0.5000 0.0000
0.0000 0.5000 0.5000
0.5000 0.0000 0.5000
```

E above lowest polymorph	0	meV/atom
SG	No. 123
formation enthalpy at 0 K	-0.35	eV per atom

(8)
Computed, not measured: a relaxed Ac12Ge6Pb crystal at the PBE level of DFT.

POSCAR file:
```
Ac12Ge6Pb
1.0
-5.5335 5.5335 5.5335
5.5335 -5.5335 5.5335
5.5335 5.5335 -5.5335
Ac Ge Pb
12 6 1
direct
0.1092 0.2979 0.8113
0.1887 0.4866 0.2979
0.1887 0.8908 0.7021
0.2979 0.1887 0.4866
0.2979 0.8113 0.1092
0.4866 0.2979 0.1887
0.5134 0.7021 0.8113
0.7021 0.1887 0.8908
0.7021 0.8113 0.5134
0.8113 0.1092 0.2979
0.8113 0.5134 0.7021
0.8908 0.7021 0.1887
0.1147 0.5000 0.6147
0.3853 0.8853 0.5000
0.5000 0.3853 0.8853
0.5000 0.6147 0.1147
0.6147 0.1147 0.5000
0.8853 0.5000 0.3853
0.0000 0.0000 0.0000
```

SG	No. 204
formation enthalpy at 0 K	-0.52	eV per atom

(9)
Computed, not measured: a relaxed Ac2GePb crystal at the PBE level of DFT.

POSCAR file:
```
Ac2GePb
1.0
3.8285 0.0000 0.0000
0.0000 3.8285 0.0000
0.0000 0.0000 8.9007
Ac Ge Pb
2 1 1
direct
0.0000 0.0000 0.2259
0.0000 0.0000 0.7741
0.5000 0.5000 0.0000
0.5000 0.5000 0.5000
```

SG	No. 123
formation enthalpy at 0 K	-0.52	eV per atom

(10)
Computed, not measured: a relaxed Ac2GePb crystal at the PBE level of DFT.

POSCAR file:
```
Ac2GePb
1.0
2.6632 1.5376 5.6957
-2.6632 1.5376 5.6957
0.0000 -3.0752 5.6957
Ac Ge Pb
2 1 1
direct
0.2418 0.2418 0.2418
0.7582 0.7582 0.7582
0.5000 0.5000 0.5000
0.0000 0.0000 0.0000
```

SG	No. 166
formation enthalpy at 0 K	-0.48	eV per atom

(11)
Computed, not measured: a relaxed Ac8GePb5 crystal at the PBE level of DFT.

POSCAR file:
```
Ac8GePb5
1.0
-5.1072 5.1072 5.1351
5.1072 -5.1072 5.1351
5.1072 5.1072 -5.1351
Ac Ge Pb
8 1 5
direct
0.1264 0.3754 0.1109
0.1383 0.3796 0.6279
0.2645 0.0155 0.8891
0.4896 0.8617 0.2414
0.6204 0.2482 0.7586
0.6246 0.7355 0.7511
0.7518 0.5104 0.3721
0.9845 0.8736 0.2489
0.5000 0.5000 0.0000
0.2500 0.7500 0.5000
0.3739 0.2471 0.3730
0.7529 0.1259 0.1269
0.8741 0.0009 0.6270
0.9991 0.6261 0.8731
```

SG	No. 82
formation enthalpy at 0 K	-0.57	eV per atom

(12)
Computed, not measured: a relaxed Ac4Ge3Pb crystal at the PBE level of DFT.

POSCAR file:
```
Ac4Ge3Pb
1.0
4.4018 0.0000 0.0000
0.0000 4.8517 0.0000
0.0000 0.0000 12.0259
Ac Ge Pb
4 3 1
direct
0.0000 0.0000 0.0000
0.0000 0.5000 0.4846
0.5000 0.0000 0.7078
0.5000 0.5000 0.2188
0.0000 0.0000 0.2791
0.5000 0.0000 0.4276
0.5000 0.5000 0.9463
0.0000 0.5000 0.7792
```

SG	No. 25
formation enthalpy at 0 K	-0.63	eV per atom

(13)
Computed, not measured: a relaxed Ac3Ge2Pb crystal at the PBE level of DFT.

POSCAR file:
```
Ac3Ge2Pb
1.0
2.4360 -8.7544 0.0000
2.4360 8.7544 0.0000
0.0000 0.0000 4.5390
Ac Ge Pb
3 2 1
direct
0.0000 0.0000 0.0000
0.1739 0.8261 0.5000
0.8261 0.1739 0.5000
0.3537 0.6463 0.0000
0.6463 0.3537 0.0000
0.5000 0.5000 0.5000
```

E above lowest polymorph	127	meV/atom
SG	No. 65
formation enthalpy at 0 K	-0.45	eV per atom

(14)
Computed, not measured: a relaxed Ac12Ge5Pb2 crystal at the PBE level of DFT.

POSCAR file:
```
Ac12Ge5Pb2
1.0
9.1610 -3.9104 0.0000
9.1610 3.9104 0.0000
-2.8745 0.0000 10.3597
Ac Ge Pb
12 5 2
direct
0.0068 0.0068 0.2465
0.0472 0.5776 0.8943
0.0977 0.6150 0.4559
0.3850 0.9023 0.5441
0.4213 0.4213 0.2053
0.4224 0.9528 0.1057
0.5776 0.0472 0.8943
0.5787 0.5787 0.7947
0.6150 0.0977 0.4559
0.9023 0.3850 0.5441
0.9528 0.4224 0.1057
0.9932 0.9932 0.7535
0.1707 0.1707 0.8081
0.2075 0.2075 0.3545
0.5000 0.5000 0.5000
0.7925 0.7925 0.6455
0.8293 0.8293 0.1919
0.2811 0.7189 0.0000
0.7189 0.2811 0.0000
```

SG	No. 12
formation enthalpy at 0 K	-0.35	eV per atom

(15)
Computed, not measured: a relaxed Ac12Ge2Pb5 crystal at the PBE level of DFT.

POSCAR file:
```
Ac12Ge2Pb5
1.0
9.3104 -4.3161 0.0000
9.3104 4.3161 0.0000
-2.6997 0.0000 10.3342
Ac Ge Pb
12 2 5
direct
0.0058 0.0058 0.2223
0.0671 0.5916 0.9004
0.0965 0.6237 0.4405
0.3763 0.9035 0.5595
0.4084 0.9329 0.0996
0.4606 0.4606 0.1766
0.5394 0.5394 0.8234
0.5916 0.0671 0.9004
0.6237 0.0965 0.4405
0.9035 0.3763 0.5595
0.9329 0.4084 0.0996
0.9942 0.9942 0.7777
0.2454 0.7546 0.0000
0.7546 0.2454 0.0000
0.1817 0.1817 0.8322
0.2120 0.2120 0.3643
0.5000 0.5000 0.5000
0.7880 0.7880 0.6357
0.8183 0.8183 0.1678
```

SG	No. 12
formation enthalpy at 0 K	-0.33	eV per atom

(16)
Computed, not measured: a relaxed Ac6GePb3 crystal at the PBE level of DFT.

POSCAR file:
```
Ac6GePb3
1.0
7.3785 4.2600 4.5890
-7.3785 4.2600 4.5890
0.0000 -8.5200 4.5890
Ac Ge Pb
12 2 6
direct
0.0328 0.6794 0.9356
0.0644 0.9672 0.3206
0.1918 0.4243 0.5608
0.3206 0.0644 0.9672
0.4243 0.5608 0.1918
0.4392 0.8082 0.5757
0.5608 0.1918 0.4243
0.5757 0.4392 0.8082
0.6794 0.9356 0.0328
0.8082 0.5757 0.4392
0.9356 0.0328 0.6794
0.9672 0.3206 0.0644
0.0000 0.0000 0.0000
0.5000 0.5000 0.5000
0.1195 0.6288 0.3002
0.3002 0.1195 0.6288
0.3712 0.6998 0.8805
0.6288 0.3002 0.1195
0.6998 0.8805 0.3712
0.8805 0.3712 0.6998
```

SG	No. 148
formation enthalpy at 0 K	-0.37	eV per atom

(17)
Computed, not measured: a relaxed Ac7Ge3Pb crystal at the PBE level of DFT.

POSCAR file:
```
Ac7Ge3Pb
1.0
4.8987 -5.8166 0.0000
4.8987 5.8166 0.0000
-2.1546 0.0000 7.2067
Ac Ge Pb
7 3 1
direct
0.0000 0.0000 0.0000
0.1157 0.5308 0.2852
0.3388 0.3388 0.8049
0.4692 0.8843 0.7148
0.5308 0.1157 0.2852
0.6612 0.6612 0.1951
0.8843 0.4692 0.7148
0.2726 0.7274 0.0000
0.5000 0.5000 0.5000
0.7274 0.2726 0.0000
0.0000 0.0000 0.5000
```

SG	No. 12
formation enthalpy at 0 K	-0.44	eV per atom

(18)
Computed, not measured: a relaxed Ac12Ge7Pb crystal at the PBE level of DFT.

POSCAR file:
```
Ac12Ge7Pb
1.0
8.1036 4.6786 3.1690
-8.1036 4.6786 3.1690
0.0000 -9.3572 3.1690
Ac Ge Pb
12 7 1
direct
0.9999 0.2337 0.7652
0.0001 0.7663 0.2348
0.1662 0.4539 0.4545
0.2337 0.7652 0.9999
0.2348 0.0001 0.7663
0.4539 0.4545 0.1662
0.4545 0.1662 0.4539
0.5455 0.8338 0.5461
0.5461 0.5455 0.8338
0.7652 0.9999 0.2337
0.7663 0.2348 0.0001
0.8338 0.5461 0.5455
0.1761 0.5526 0.1767
0.1767 0.1761 0.5526
0.4474 0.8233 0.8239
0.5000 0.5000 0.5000
0.5526 0.1767 0.1761
0.8233 0.8239 0.4474
0.8239 0.4474 0.8233
0.0000 0.0000 0.0000
```

SG	No. 148
formation enthalpy at 0 K	-0.40	eV per atom

(19)
Computed, not measured: a relaxed Ac6GePb5 crystal at the PBE level of DFT.

POSCAR file:
```
Ac6GePb5
1.0
4.4549 -6.2280 0.0000
4.4549 6.2280 0.0000
-1.8675 0.0000 8.3176
Ac Ge Pb
6 1 5
direct
0.0570 0.3862 0.7230
0.2083 0.2083 0.2248
0.3862 0.0570 0.7230
0.6138 0.9430 0.2770
0.7917 0.7917 0.7752
0.9430 0.6138 0.2770
0.0000 0.0000 0.5000
0.2101 0.7899 0.0000
0.3715 0.6285 0.5000
0.5000 0.5000 0.0000
0.6285 0.3715 0.5000
0.7899 0.2101 0.0000
```

SG	No. 12
formation enthalpy at 0 K	-0.47	eV per atom

(20)
Computed, not measured: a relaxed Ac2Ge2Pb crystal at the PBE level of DFT.

POSCAR file:
```
Ac2Ge2Pb
1.0
2.1215 -7.7805 0.0000
2.1215 7.7805 0.0000
0.0000 0.0000 4.5750
Ac Ge Pb
2 2 1
direct
0.1337 0.8663 0.0000
0.8663 0.1337 0.0000
0.2993 0.7007 0.5000
0.7007 0.2993 0.5000
0.5000 0.5000 0.5000
```

E above lowest polymorph	31	meV/atom
SG	No. 65
formation enthalpy at 0 K	-0.65	eV per atom